## Sr2Tc2N5 (PBE-GGA)

Data for Sr2Tc2N5 after structural relaxation.

Symmetry: Ima2, No. 46
E_tot in eV for the cell shown: -138.5
Crystal system: orthorhombic
N(E_F) in states/eV/f.u.: 2.3
Formation energy without anion corrections in meV per atom: -391.8

a b c (Å): 8.6694 8.6694 8.6694
angles (deg): 56.49 140.17 141.64
Last column: nearest neighbours and their distance in Å.
Element x y z (fractional)
Sr (0.0083, 0.1112, 0.1195)  6 N 2.51-2.72
Sr (0.0083, 0.3888, 0.3971)  6 N 2.51-2.72
Sr (0.9917, 0.6112, 0.6029)  6 N 2.51-2.72
Sr (0.9917, 0.8888, 0.8805)  6 N 2.51-2.72
Tc (0.4204, 0.7296, 0.1908)  4 N 1.82-1.86
Tc (0.5046, 0.0046, 0.5000)  6 N 2.05-2.25
Tc (0.5046, 0.5046, 0.0000)  6 N 2.05-2.25
Tc (0.5387, 0.2296, 0.8092)  4 N 1.82-1.86
N (0.0029, 0.2600, 0.7592)  2 Tc 2.05-2.06
N (0.0029, 0.7437, 0.2429)  2 Tc 2.05-2.06
N (0.3801, 0.9350, 0.9450)  2 Tc 1.86
N (0.4417, 0.1623, 0.5680)  1 Tc 1.82
N (0.4417, 0.3738, 0.7794)  1 Tc 1.82
N (0.5008, 0.2437, 0.2408)  2 Tc 2.05-2.06
N (0.5008, 0.7600, 0.7571)  2 Tc 2.05-2.06
N (0.5944, 0.6623, 0.2206)  1 Tc 1.82
N (0.5944, 0.8738, 0.4320)  1 Tc 1.82
N (0.9900, 0.4350, 0.0550)  2 Tc 1.86



## Sr3TcN4 (PBE-GGA)

Data for Sr3TcN4 after structural relaxation.

Symmetry: Pmn2_1, No. 31
E_tot in eV for the cell shown: -107.7
Crystal system: orthorhombic
N(E_F) in states/eV/f.u.: 3.1
Formation energy without anion corrections in meV per atom: -639.1

a b c (Å): 7.9213 7.0353 5.6718
angles (deg): 90.00 90.00 90.00
Last column: nearest neighbours and their distance in Å.
Element x y z (fractional)
Sr (0.0000, 0.1384, 0.0000)  4 N 2.40-2.69
Sr (0.2432, 0.3335, 0.5027)  4 N 2.41-2.63
Sr (0.2568, 0.6665, 0.0027)  4 N 2.41-2.63
Sr (0.5000, 0.8616, 0.5000)  4 N 2.40-2.69
Sr (0.7432, 0.6665, 0.0027)  4 N 2.41-2.63
Sr (0.7568, 0.3335, 0.5027)  4 N 2.41-2.63
Tc (0.0000, 0.8260, 0.4600)  4 N 1.84-1.88
Tc (0.5000, 0.1740, 0.9600)  4 N 1.84-1.88
N (0.0000, 0.0868, 0.5309)  1 Tc 1.88
N (0.0000, 0.8150, 0.1355)  1 Tc 1.84
N (0.1977, 0.7019, 0.5509)  1 Tc 1.87
N (0.3023, 0.2981, 0.0509)  1 Tc 1.87
N (0.5000, 0.1850, 0.6355)  1 Tc 1.84
N (0.5000, 0.9132, 0.0309)  1 Tc 1.88
N (0.6977, 0.2981, 0.0509)  1 Tc 1.87
N (0.8023, 0.7019, 0.5509)  1 Tc 1.87



## Sr3TcN (PBE-GGA)

Data for Sr3TcN after structural relaxation.

Symmetry: Pm-3m, No. 221
E_tot in eV for the cell shown: -22.0
Energy relative to the lowest polymorph listed for this composition in meV/atom: 0.0
Crystal system: cubic
N(E_F) in states/eV/f.u.: 7.7
Formation energy without anion corrections in meV per atom: 346.3

a b c (Å): 5.2049 5.2049 5.2049
angles (deg): 90.00 90.00 90.00
Last column: nearest neighbours and their distance in Å.
Element x y z (fractional)
Sr (0.0000, 0.0000, 0.5000)  2 N 2.60
Sr (0.0000, 0.5000, 0.0000)  2 N 2.60
Sr (0.5000, 0.0000, 0.0000)  2 N 2.60
Tc (0.5000, 0.5000, 0.5000)  12 Sr 3.68
N (0.0000, 0.0000, 0.0000)  6 Sr 2.60



## Sr2Tc2N (PBE-GGA)

Data for Sr2Tc2N after structural relaxation.

Symmetry: I4/mmm, No. 139
E_tot in eV for the cell shown: -61.7
Energy relative to the lowest polymorph listed for this composition in meV/atom: 0.0
Crystal system: tetragonal
N(E_F) in states/eV/f.u.: 4.4
Formation energy without anion corrections in meV per atom: 314.5

a b c (Å): 3.4218 3.4218 18.2396
angles (deg): 90.00 90.00 90.00
Last column: nearest neighbours and their distance in Å.
Element x y z (fractional)
Sr (0.0000, 0.0000, 0.0804)  4 N 2.83, 1 Sr 2.93
Sr (0.0000, 0.0000, 0.9196)  4 N 2.83, 1 Sr 2.93
Sr (0.5000, 0.5000, 0.4196)  4 N 2.83, 1 Sr 2.93
Sr (0.5000, 0.5000, 0.5804)  4 N 2.83, 1 Sr 2.93
Tc (0.0000, 0.5000, 0.2500)  4 Tc 2.42
Tc (0.0000, 0.5000, 0.7500)  4 Tc 2.42
Tc (0.5000, 0.0000, 0.2500)  4 Tc 2.42
Tc (0.5000, 0.0000, 0.7500)  4 Tc 2.42
N (0.0000, 0.0000, 0.5000)  8 Sr 2.83
N (0.5000, 0.5000, 0.0000)  8 Sr 2.83



## SrTcTe2N (PBE-GGA)

Data for SrTcTe2N after structural relaxation.

Symmetry: P4/mmm, No. 123
E_tot in eV for the cell shown: -19.5
Energy relative to the lowest polymorph listed for this composition in meV/atom: 1800.8
Crystal system: tetragonal
N(E_F) in states/eV/f.u.: 3.1
Formation energy without anion corrections in meV per atom: 1438.1

a b c (Å): 6.1482 6.1482 4.7154
angles (deg): 90.00 90.00 90.00
Last column: nearest neighbours and their distance in Å.
Element x y z (fractional)
Sr (0.0000, 0.0000, 0.0000)  2 N 2.36
Tc (0.5000, 0.5000, 0.5000)  8 Te 3.87
Te (0.0000, 0.5000, 0.0000)  2 Sr 3.07
Te (0.5000, 0.0000, 0.0000)  2 Sr 3.07
N (0.0000, 0.0000, 0.5000)  2 Sr 2.36



## SrTcTeN2 (PBE-GGA)

Data for SrTcTeN2 after structural relaxation.

Symmetry: P4/mmm, No. 123
E_tot in eV for the cell shown: -20.8
Energy relative to the lowest polymorph listed for this composition in meV/atom: 2012.9
Crystal system: tetragonal
N(E_F) in states/eV/f.u.: 7.1
Formation energy without anion corrections in meV per atom: 2209.6

a b c (Å): 4.5610 4.5610 6.5601
angles (deg): 90.00 90.00 90.00
Last column: nearest neighbours and their distance in Å.
Element x y z (fractional)
Sr (0.0000, 0.0000, 0.0000)  4 N 2.28
Tc (0.5000, 0.5000, 0.5000)  4 Te 3.23
Te (0.0000, 0.0000, 0.5000)  4 Tc 3.23, 2 Sr 3.28
N (0.0000, 0.5000, 0.0000)  2 Sr 2.28
N (0.5000, 0.0000, 0.0000)  2 Sr 2.28



What did the fourth record say?
## Sr2Tc2N (PBE-GGA)

Data for Sr2Tc2N after structural relaxation.

Symmetry: I4/mmm, No. 139
E_tot in eV for the cell shown: -61.7
Energy relative to the lowest polymorph listed for this composition in meV/atom: 0.0
Crystal system: tetragonal
N(E_F) in states/eV/f.u.: 4.4
Formation energy without anion corrections in meV per atom: 314.5

a b c (Å): 3.4218 3.4218 18.2396
angles (deg): 90.00 90.00 90.00
Last column: nearest neighbours and their distance in Å.
Element x y z (fractional)
Sr (0.0000, 0.0000, 0.0804)  4 N 2.83, 1 Sr 2.93
Sr (0.0000, 0.0000, 0.9196)  4 N 2.83, 1 Sr 2.93
Sr (0.5000, 0.5000, 0.4196)  4 N 2.83, 1 Sr 2.93
Sr (0.5000, 0.5000, 0.5804)  4 N 2.83, 1 Sr 2.93
Tc (0.0000, 0.5000, 0.2500)  4 Tc 2.42
Tc (0.0000, 0.5000, 0.7500)  4 Tc 2.42
Tc (0.5000, 0.0000, 0.2500)  4 Tc 2.42
Tc (0.5000, 0.0000, 0.7500)  4 Tc 2.42
N (0.0000, 0.0000, 0.5000)  8 Sr 2.83
N (0.5000, 0.5000, 0.0000)  8 Sr 2.83



> N(E_F) of number 6 (SrTcTeN2)?

7.1 states/eV/f.u.



> N(E_F) of number 1 (Sr2Tc2N5)?

2.3 states/eV/f.u.